The following is a GGA-PBE calculation of an optimized crystal structure of CdSiP2, from the Alexandria database.

Summary:
The calculation puts the density of states at the Fermi level at 0.9 states/eV/f.u. The value obtained for the energy above the most stable polymorph in this dataset is 0.462 eV/atom. The value obtained for the energy relative to the elements, uncorrected is 0.2621 eV/atom. As for the crystal system: tetragonal. The space-group type is P4mm, No. 99.

Unit cell a=3.4200 b=3.4200 c=6.5751 alpha=90.00 beta=90.00 gamma=90.00
With the nearest neighbours (Å) after each atom.
Fractional positions:
Si1 0.0000 0.0000 0.5141  1 P 2.28
P1 0.0000 0.0000 0.1675  1 Si 2.28, 4 P 2.45
P2 0.5000 0.5000 0.1043  4 P 2.45, 1 Cd 2.57
Cd1 0.5000 0.5000 0.7141  1 P 2.57, 4 Si 2.75